No. 1
The following is a PBE-GGA calculation of an optimized crystal structure of BaSm4Tl5, from the Alexandria database.

a b c (Å): 3.9248 3.9248 19.9194
angles (deg): 90.00 90.00 90.00
Last column: nearest neighbours and their distance in Å.
Positions (direct):
Ba: 0.0000 0.0000 0.0000  8 Tl 3.70, 4 Ba 3.92
Sm: 0.0000 0.0000 0.2139  8 Tl 3.32-3.38
Sm: 0.0000 0.0000 0.4050  8 Tl 3.35-3.36
Sm: 0.0000 0.0000 0.5950  8 Tl 3.35-3.36
Sm: 0.0000 0.0000 0.7861  8 Tl 3.32-3.38
Tl: 0.5000 0.5000 0.1227  4 Sm 3.32, 4 Ba 3.70
Tl: 0.5000 0.5000 0.3108  8 Sm 3.35-3.38, 1 Tl 3.75
Tl: 0.5000 0.5000 0.5000  8 Sm 3.36
Tl: 0.5000 0.5000 0.6892  8 Sm 3.35-3.38, 1 Tl 3.75
Tl: 0.5000 0.5000 0.8773  4 Sm 3.32, 4 Ba 3.70

Size of the total moment in μB/f.u.: 0.00
DFT formation energy in kJ per mole of atoms: -36.2
Density of states at the Fermi level in states/eV per atom: 0.7780
VASP energy in eV per atom: -3.6378

***

No. 2
The following is a PBE-GGA calculation of an optimized crystal structure of K2NaIn12Ni3, from the Alexandria database.

a b c (Å): 8.7857 8.7857 8.7857
angles (deg): 66.62 66.62 66.62
Last column: nearest neighbours and their distance in Å.
Positions (direct):
K: 0.0887 0.0887 0.0887  6 In 3.53-3.94, 1 K 3.61
K: 0.9113 0.9113 0.9113  6 In 3.53-3.94, 1 K 3.61
Na: 0.5000 0.5000 0.5000  6 In 3.13
In: 0.0984 0.6388 0.6388  1 Ni 2.56
In: 0.2275 0.2275 0.5798  2 Ni 2.49
In: 0.2275 0.5798 0.2275  2 Ni 2.49
In: 0.3612 0.3612 0.9016  1 Ni 2.56
In: 0.3612 0.9016 0.3612  1 Ni 2.56
In: 0.4202 0.7725 0.7725  2 Ni 2.49
In: 0.5798 0.2275 0.2275  2 Ni 2.49
In: 0.6388 0.0984 0.6388  1 Ni 2.56
In: 0.6388 0.6388 0.0984  1 Ni 2.56
In: 0.7725 0.4202 0.7725  2 Ni 2.49
In: 0.7725 0.7725 0.4202  2 Ni 2.49
In: 0.9016 0.3612 0.3612  1 Ni 2.56
Ni: 0.0000 0.5000 0.5000  6 In 2.49-2.56
Ni: 0.5000 0.0000 0.5000  6 In 2.49-2.56
Ni: 0.5000 0.5000 0.0000  6 In 2.49-2.56

Size of the total moment in μB/f.u.: 0.00
DFT formation energy in kJ per mole of atoms: 3.7
Density of states at the Fermi level in states/eV per atom: 0.5515
VASP energy in eV per atom: -2.9458

***

No. 3
The following is a PBE-GGA calculation of an optimized crystal structure of YHfTh, from the Alexandria database.

a b c (Å): 3.7277 3.7277 12.5718
angles (deg): 90.00 90.00 90.00
Last column: nearest neighbours and their distance in Å.
Positions (direct):
Y: 0.2500 0.2500 0.2103  5 Hf 3.29-3.31, 4 Th 3.62
Y: 0.7500 0.7500 0.7897  5 Hf 3.29-3.31, 4 Th 3.62
Hf: 0.2500 0.2500 0.9484  4 Hf 2.94
Hf: 0.7500 0.7500 0.0516  4 Hf 2.94
Th: 0.2500 0.2500 0.5929  8 Th 3.52-3.73, 4 Y 3.62
Th: 0.7500 0.7500 0.4071  8 Th 3.52-3.73, 4 Y 3.62

Size of the total moment in μB/f.u.: 0.00
DFT formation energy in kJ per mole of atoms: 14.4
Density of states at the Fermi level in states/eV per atom: 1.6840
VASP energy in eV per atom: -7.7961

***

No. 4
The following is a PBE-GGA calculation of an optimized crystal structure of CaMnCo2, from the Alexandria database.

a b c (Å): 5.6508 5.6508 5.6508
angles (deg): 42.03 42.03 42.03
Last column: nearest neighbours and their distance in Å.
Positions (direct):
Ca: 0.0000 0.0000 0.0000  4 Mn 3.04-3.15, 7 Co 3.04-3.22
Mn: 0.8030 0.8030 0.8030  6 Co 2.48-2.52
Co: 0.1972 0.1972 0.1972  3 Co 2.34, 3 Mn 2.52
Co: 0.5232 0.5232 0.5232  3 Co 2.34, 3 Mn 2.48

Size of the total moment in μB/f.u.: 6.53
DFT formation energy in kJ per mole of atoms: 18.9
Density of states at the Fermi level in states/eV per atom: 0.8391
VASP energy in eV per atom: -6.1501

***

No. 5
The following is a PBE-GGA calculation of an optimized crystal structure of Rb2Er2PaSe6, from the Alexandria database.

a b c (Å): 7.2187 7.2187 8.5619
angles (deg): 98.15 98.15 119.99
Last column: nearest neighbours and their distance in Å.
Positions (direct):
Rb: 0.1672 0.8328 0.0000  6 Se 3.49-3.50
Rb: 0.8328 0.1672 0.0000  6 Se 3.49-3.50
Er: 0.3333 0.6667 0.5000  6 Se 2.87
Er: 0.6667 0.3333 0.5000  6 Se 2.87
Pa: 0.0000 0.0000 0.5000  6 Se 2.87
Se: 0.0639 0.3975 0.6911  2 Er 2.87, 1 Pa 2.87
Se: 0.2693 0.2693 0.3092  2 Er 2.87, 1 Pa 2.87
Se: 0.3975 0.0639 0.6911  2 Er 2.87, 1 Pa 2.87
Se: 0.6025 0.9361 0.3089  2 Er 2.87, 1 Pa 2.87
Se: 0.7307 0.7307 0.6908  2 Er 2.87, 1 Pa 2.87
Se: 0.9361 0.6025 0.3089  2 Er 2.87, 1 Pa 2.87

Size of the total moment in μB/f.u.: 1.05
Energy relative to the elements, uncorrected in eV per formula unit: -18.2
Density of states at the Fermi level in states/eV per atom: 0.1210
VASP energy in eV per atom: -5.4221

***

No. 6
The following is a PBE-GGA calculation of an optimized crystal structure of RbMn3Pd, from the Alexandria database.

a b c (Å): 5.0964 5.0964 5.0964
angles (deg): 90.00 90.00 90.00
Last column: nearest neighbours and their distance in Å.
Positions (direct):
Rb: 0.0000 0.0000 0.0000  12 Mn 3.60
Mn: 0.0000 0.5000 0.5000  2 Pd 2.55
Mn: 0.5000 0.0000 0.5000  2 Pd 2.55
Mn: 0.5000 0.5000 0.0000  2 Pd 2.55
Pd: 0.5000 0.5000 0.5000  6 Mn 2.55

Size of the total moment in μB/f.u.: 13.83
DFT formation energy in kJ per mole of atoms: 74.2
Density of states at the Fermi level in states/eV per atom: 0.6094
VASP energy in eV per atom: -5.9647

***

No. 7
The following is a PBE-GGA calculation of an optimized crystal structure of Tb2Dy5YTh, from the Alexandria database.

a b c (Å): 11.1049 11.1049 9.7270
angles (deg): 90.00 90.00 150.25
Last column: nearest neighbours and their distance in Å.
Positions (direct):
Tb: 0.1153 0.8847 0.5000  9 Dy 3.34-3.73, 1 Y 3.44, 1 Tb 3.72
Tb: 0.1294 0.8706 0.8812  1 Y 3.26, 3 Dy 3.34-3.62, 2 Th 3.60
Tb: 0.8706 0.1294 0.3812  1 Y 3.26, 3 Dy 3.34-3.62, 2 Th 3.60
Tb: 0.8847 0.1153 0.0000  9 Dy 3.34-3.73, 1 Y 3.44, 1 Tb 3.72
Dy: 0.0146 0.9854 0.1879  3 Tb 3.34-3.73, 2 Th 3.45, 2 Dy 3.61
Dy: 0.2714 0.7286 0.4950  1 Th 3.03, 1 Tb 3.35
Dy: 0.3049 0.6951 0.8884  4 Dy 3.45-3.73, 3 Y 3.46-3.81, 3 Tb 3.50-3.77, 1 Th 3.58
Dy: 0.3983 0.6017 0.2122  2 Dy 3.29-3.45, 4 Tb 3.34-3.53
Dy: 0.4691 0.5309 0.9127  2 Th 3.22-3.39, 3 Dy 3.29-3.53, 2 Tb 3.48
Dy: 0.5309 0.4691 0.4127  2 Th 3.22-3.39, 3 Dy 3.29-3.53, 2 Tb 3.48
Dy: 0.6017 0.3983 0.7122  2 Dy 3.29-3.45, 4 Tb 3.34-3.53
Dy: 0.6951 0.3049 0.3884  4 Dy 3.45-3.73, 3 Y 3.46-3.81, 3 Tb 3.50-3.77, 1 Th 3.58
Dy: 0.7286 0.2714 0.9950  1 Th 3.03, 1 Tb 3.35
Dy: 0.9854 0.0146 0.6879  3 Tb 3.34-3.73, 2 Th 3.45, 2 Dy 3.61
Y: 0.1905 0.8095 0.1876  2 Tb 3.26-3.44, 5 Dy 3.46-3.51, 2 Th 3.63
Y: 0.8095 0.1905 0.6876  2 Tb 3.26-3.44, 5 Dy 3.46-3.51, 2 Th 3.63
Th: 0.4052 0.5948 0.5939  3 Dy 3.03-3.39
Th: 0.5948 0.4052 0.0939  3 Dy 3.03-3.39

Size of the total moment in μB/f.u.: 0.00
DFT formation energy in kJ per mole of atoms: 15.6
Density of states at the Fermi level in states/eV per atom: 1.4211
VASP energy in eV per atom: -4.9669

***

No. 8
The following is a PBE-GGA calculation of an optimized crystal structure of Pm6Os2O, from the Alexandria database.

a b c (Å): 6.5724 7.3710 11.4475
angles (deg): 90.00 123.77 90.00
Last column: nearest neighbours and their distance in Å.
Positions (direct):
Pm: 0.1212 0.0449 0.2454  1 O 2.48
Pm: 0.1212 0.4551 0.7454  1 O 2.48
Pm: 0.2349 0.6829 0.0648  1 O 2.67, 1 Os 2.89
Pm: 0.2349 0.8171 0.5648  1 O 2.67, 1 Os 2.89
Pm: 0.3762 0.1674 0.0609  1 O 2.49
Pm: 0.3762 0.3326 0.5609  1 O 2.49
Pm: 0.6238 0.6674 0.4391  1 O 2.49
Pm: 0.6238 0.8326 0.9391  1 O 2.49
Pm: 0.7651 0.1829 0.4352  1 O 2.67, 1 Os 2.89
Pm: 0.7651 0.3171 0.9352  1 O 2.67, 1 Os 2.89
Pm: 0.8788 0.5449 0.2546  1 O 2.48
Pm: 0.8788 0.9551 0.7546  1 O 2.48
Os: 0.2906 0.1032 0.7534  6 Pm 2.80-3.07
Os: 0.2906 0.3968 0.2534  6 Pm 2.80-3.07
Os: 0.7094 0.6032 0.7466  6 Pm 2.80-3.07
Os: 0.7094 0.8968 0.2466  6 Pm 2.80-3.07
O: 0.0000 0.0000 0.0000  6 Pm 2.48-2.67
O: 0.0000 0.5000 0.5000  6 Pm 2.48-2.67

Size of the total moment in μB/f.u.: 0.00
Energy relative to the elements, uncorrected in eV per formula unit: -6.5
Density of states at the Fermi level in states/eV per atom: 0.7404
VASP energy in eV per atom: -6.9320

***

No. 9
The following is a PBE-GGA calculation of an optimized crystal structure of GeTe2As, from the Alexandria database.

a b c (Å): 4.1525 6.0862 4.2015
angles (deg): 90.00 90.01 90.00
Last column: nearest neighbours and their distance in Å.
Positions (direct):
Ge: 0.0000 0.0000 0.0000  6 Te 2.87-3.04
Te: 0.4986 0.0000 0.5264  4 Ge 2.87-3.04, 2 As 3.04
Te: 0.9986 0.5000 0.0204  4 As 2.95-2.96, 2 Ge 3.04
As: 0.4986 0.5000 0.5209  6 Te 2.95-3.04

Size of the total moment in μB/f.u.: 0.00
Energy relative to the elements, uncorrected in eV per formula unit: 0.1
Density of states at the Fermi level in states/eV per atom: 0.4706
VASP energy in eV per atom: -3.8539

***

No. 10
The following is a PBE-GGA calculation of an optimized crystal structure of KTlP2, from the Alexandria database.

a b c (Å): 3.5217 3.5217 7.8558
angles (deg): 90.00 90.00 90.00
Last column: nearest neighbours and their distance in Å.
Positions (direct):
K: 0.0000 0.0000 0.0000  1 P 3.03
Tl: 0.5000 0.5000 0.6489  1 P 2.73
P: 0.0000 0.0000 0.3859  4 P 2.58
P: 0.5000 0.5000 0.3020  4 P 2.58, 1 Tl 2.73

Size of the total moment in μB/f.u.: 0.00
DFT formation energy in kJ per mole of atoms: 5.2
Density of states at the Fermi level in states/eV per atom: 0.3082
VASP energy in eV per atom: -3.5175

***

No. 11
The following is a PBE-GGA calculation of an optimized crystal structure of La4YMg5, from the Alexandria database.

a b c (Å): 3.9289 3.9289 19.6777
angles (deg): 90.00 90.00 90.00
Last column: nearest neighbours and their distance in Å.
Positions (direct):
La: 0.0000 0.0000 0.1024  8 Mg 3.42-3.43
La: 0.0000 0.0000 0.3055  8 Mg 3.43-3.44, 1 Y 3.83
La: 0.0000 0.0000 0.6945  8 Mg 3.43-3.44, 1 Y 3.83
La: 0.0000 0.0000 0.8976  8 Mg 3.42-3.43
Y: 0.0000 0.0000 0.5000  8 Mg 3.31
Mg: 0.5000 0.5000 0.0000  8 La 3.43
Mg: 0.5000 0.5000 0.2037  8 La 3.42-3.43
Mg: 0.5000 0.5000 0.4088  4 Y 3.31, 4 La 3.44, 1 Mg 3.59
Mg: 0.5000 0.5000 0.5912  4 Y 3.31, 4 La 3.44, 1 Mg 3.59
Mg: 0.5000 0.5000 0.7963  8 La 3.42-3.43

Size of the total moment in μB/f.u.: 0.00
DFT formation energy in kJ per mole of atoms: -10.8
Density of states at the Fermi level in states/eV per atom: 1.2133
VASP energy in eV per atom: -3.5263

***

No. 12
The following is a PBE-GGA calculation of an optimized crystal structure of SmTh2Mg, from the Alexandria database.

a b c (Å): 4.9143 4.9143 5.0682
angles (deg): 90.00 90.00 90.00
Last column: nearest neighbours and their distance in Å.
Positions (direct):
Sm: 0.0000 0.0000 0.0000  4 Mg 3.47, 8 Th 3.53
Th: 0.0000 0.5000 0.5000  4 Th 3.47, 4 Mg 3.53, 4 Sm 3.53
Th: 0.5000 0.0000 0.5000  4 Th 3.47, 4 Mg 3.53, 4 Sm 3.53
Mg: 0.5000 0.5000 0.0000  4 Sm 3.47, 8 Th 3.53

Size of the total moment in μB/f.u.: 0.00
DFT formation energy in kJ per mole of atoms: 6.0
Density of states at the Fermi level in states/eV per atom: 1.3274
VASP energy in eV per atom: -5.2262